No. 1
InTc2Se: optimized geometry, GGA-PBE.

Space group: Cm (8)
Uncorrected formation energy in meV per atom: 304
Offset from the most stable computed form in meV/atom: 232

abc: 4.896 4.896 5.098
angles: 103.44 103.44 36.84
Sites, in units of the cell vectors:
In 0.000 0.000 0.000
Tc 0.495 0.495 0.499
Tc 0.760 0.760 0.249
Se 0.229 0.229 0.609

No. 2
NaB3H12: optimized geometry, GGA-PBE.

Space group: R3c (161)

abc: 8.435 8.435 8.435
angles: 44.20 44.20 44.20
Sites, in units of the cell vectors:
Na 0.000 0.000 0.000
Na 0.500 0.500 0.500
B 0.034 0.849 0.435
B 0.349 0.534 0.935
B 0.435 0.034 0.849
B 0.534 0.935 0.349
B 0.849 0.435 0.034
B 0.935 0.349 0.534
H 0.071 0.303 0.924
H 0.092 0.404 0.302
H 0.115 0.686 0.394
H 0.147 0.841 0.480
H 0.186 0.615 0.894
H 0.302 0.092 0.404
H 0.303 0.924 0.071
H 0.341 0.647 0.980
H 0.394 0.115 0.686
H 0.404 0.302 0.092
H 0.424 0.803 0.571
H 0.480 0.147 0.841
H 0.571 0.424 0.803
H 0.592 0.802 0.904
H 0.615 0.894 0.186
H 0.647 0.980 0.341
H 0.686 0.394 0.115
H 0.802 0.904 0.592
H 0.803 0.571 0.424
H 0.841 0.480 0.147
H 0.894 0.186 0.615
H 0.904 0.592 0.802
H 0.924 0.071 0.303
H 0.980 0.341 0.647

No. 3
ScAlW: optimized geometry, GGA-PBE.

Space group: F-43m (216)
Offset from the most stable computed form in meV/atom: 799

abc: 4.394 4.394 4.394
angles: 60.00 60.00 60.00
Sites, in units of the cell vectors:
Sc 0.000 0.000 0.000
Al 0.750 0.750 0.750
W 0.500 0.500 0.500

No. 4
CeSm4Dy15: optimized geometry, GGA-PBE.

Space group: P4/mmm (123)

abc: 5.040 5.040 25.103
angles: 90.00 90.00 90.00
Sites, in units of the cell vectors:
Ce 0.000 0.000 0.000
Sm 0.000 0.000 0.199
Sm 0.000 0.000 0.400
Sm 0.000 0.000 0.600
Sm 0.000 0.000 0.801
Dy 0.000 0.500 0.098
Dy 0.000 0.500 0.299
Dy 0.000 0.500 0.500
Dy 0.000 0.500 0.701
Dy 0.000 0.500 0.902
Dy 0.500 0.000 0.098
Dy 0.500 0.000 0.299
Dy 0.500 0.000 0.500
Dy 0.500 0.000 0.701
Dy 0.500 0.000 0.902
Dy 0.500 0.500 0.000
Dy 0.500 0.500 0.200
Dy 0.500 0.500 0.400
Dy 0.500 0.500 0.600
Dy 0.500 0.500 0.800

No. 5
ScAg2W: optimized geometry, GGA-PBE.

Space group: P2/m (10)
Offset from the most stable computed form in meV/atom: 204

abc: 2.769 4.746 5.590
angles: 90.00 103.94 90.00
Sites, in units of the cell vectors:
Sc 0.000 0.000 0.000
Ag 0.493 0.500 0.256
Ag 0.507 0.500 0.744
W 0.000 0.000 0.500

No. 6
CeNdGe4: optimized geometry, GGA-PBE.

Space group: F-43m (216)
Offset from the most stable computed form in meV/atom: 97

abc: 5.670 5.670 5.670
angles: 60.00 60.00 60.00
Sites, in units of the cell vectors:
Ce 0.000 0.000 0.000
Nd 0.750 0.750 0.750
Ge 0.375 0.375 0.375
Ge 0.375 0.375 0.874
Ge 0.375 0.874 0.375
Ge 0.874 0.375 0.375

No. 7
KSr3Ir: optimized geometry, GGA-PBE.

Space group: P4mm (99)
Offset from the most stable computed form in meV/atom: 304

abc: 4.842 4.842 11.234
angles: 90.00 90.00 90.00
Sites, in units of the cell vectors:
K 0.000 0.000 0.000
Sr 0.000 0.000 0.613
Sr 0.000 0.500 0.349
Sr 0.500 0.000 0.349
Ir 0.500 0.500 0.507

No. 8
NdHoSc2: optimized geometry, GGA-PBE.

Space group: R3m (160)
Offset from the most stable computed form in meV/atom: 20

abc: 11.219 11.219 11.219
angles: 17.74 17.74 17.74
Sites, in units of the cell vectors:
Nd 0.000 0.000 0.000
Ho 0.834 0.834 0.834
Sc 0.249 0.249 0.249
Sc 0.419 0.419 0.419

No. 9
Al5Mo3N12: optimized geometry, GGA-PBE.

Space group: Ia-3d (230)
Uncorrected formation energy in meV per atom: -131

abc: 10.132 10.132 10.132
angles: 109.47 109.47 109.47
Sites, in units of the cell vectors:
Al 0.000 0.000 0.000
Al 0.000 0.000 0.500
Al 0.000 0.500 0.000
Al 0.000 0.500 0.500
Al 0.125 0.750 0.875
Al 0.125 0.875 0.250
Al 0.250 0.125 0.875
Al 0.250 0.625 0.375
Al 0.375 0.250 0.625
Al 0.375 0.625 0.750
Al 0.500 0.000 0.000
Al 0.500 0.000 0.500
Al 0.500 0.500 0.000
Al 0.500 0.500 0.500
Al 0.625 0.375 0.250
Al 0.625 0.750 0.375
Al 0.750 0.375 0.625
Al 0.750 0.875 0.125
Al 0.875 0.125 0.750
Al 0.875 0.250 0.125
Mo 0.125 0.250 0.375
Mo 0.125 0.375 0.750
Mo 0.250 0.375 0.125
Mo 0.250 0.875 0.625
Mo 0.375 0.125 0.250
Mo 0.375 0.750 0.125
Mo 0.625 0.250 0.875
Mo 0.625 0.875 0.750
Mo 0.750 0.125 0.375
Mo 0.750 0.625 0.875
Mo 0.875 0.625 0.250
Mo 0.875 0.750 0.625
N 0.047 0.226 0.126
N 0.047 0.321 0.921
N 0.079 0.626 0.401
N 0.079 0.953 0.679
N 0.099 0.726 0.679
N 0.099 0.874 0.421
N 0.126 0.047 0.226
N 0.126 0.579 0.901
N 0.179 0.226 0.599
N 0.179 0.453 0.579
N 0.226 0.126 0.047
N 0.226 0.599 0.179
N 0.274 0.321 0.901
N 0.274 0.453 0.374
N 0.321 0.901 0.274
N 0.321 0.921 0.047
N 0.374 0.274 0.453
N 0.374 0.599 0.921
N 0.401 0.079 0.626
N 0.401 0.821 0.774
N 0.421 0.099 0.874
N 0.421 0.821 0.547
N 0.453 0.374 0.274
N 0.453 0.579 0.179
N 0.547 0.421 0.821
N 0.547 0.626 0.726
N 0.579 0.179 0.453
N 0.579 0.901 0.126
N 0.599 0.179 0.226
N 0.599 0.921 0.374
N 0.626 0.401 0.079
N 0.626 0.726 0.547
N 0.679 0.079 0.953
N 0.679 0.099 0.726
N 0.726 0.547 0.626
N 0.726 0.679 0.099
N 0.774 0.401 0.821
N 0.774 0.874 0.953
N 0.821 0.547 0.421
N 0.821 0.774 0.401
N 0.874 0.421 0.099
N 0.874 0.953 0.774
N 0.901 0.126 0.579
N 0.901 0.274 0.321
N 0.921 0.047 0.321
N 0.921 0.374 0.599
N 0.953 0.679 0.079
N 0.953 0.774 0.874

No. 10
Zr2NiAs: optimized geometry, GGA-PBE.

Space group: Imm2 (44)

abc: 5.628 5.628 5.628
angles: 143.35 137.22 57.57
Sites, in units of the cell vectors:
Zr 0.000 0.000 0.000
Zr 0.733 0.233 0.500
Ni 0.261 0.761 0.500
As 0.442 0.442 0.000

No. 11
Zn4HgPt: optimized geometry, GGA-PBE.

Space group: F-43m (216)

abc: 5.090 5.090 5.090
angles: 60.00 60.00 60.00
Sites, in units of the cell vectors:
Zn 0.376 0.376 0.376
Zn 0.376 0.376 0.873
Zn 0.376 0.873 0.376
Zn 0.873 0.376 0.376
Hg 0.000 0.000 0.000
Pt 0.750 0.750 0.750

No. 12
CuRuSe: optimized geometry, GGA-PBE.

Space group: Fmm2 (42)
Uncorrected formation energy in meV per atom: 524
Offset from the most stable computed form in meV/atom: 445

abc: 6.937 6.661 2.863
angles: 83.31 72.49 24.20
Sites, in units of the cell vectors:
Cu 0.000 0.000 0.000
Ru 0.661 0.661 0.339
Se 0.313 0.313 0.687

No. 13
CaPmMg2Tl4: optimized geometry, GGA-PBE.

Space group: R-3m (166)

abc: 9.302 9.302 9.302
angles: 33.08 33.08 33.08
Sites, in units of the cell vectors:
Ca 0.000 0.000 0.000
Pm 0.500 0.500 0.500
Mg 0.250 0.250 0.250
Mg 0.750 0.750 0.750
Tl 0.123 0.123 0.123
Tl 0.374 0.374 0.374
Tl 0.626 0.626 0.626
Tl 0.877 0.877 0.877

No. 14
Er2PaSi: optimized geometry, GGA-PBE.

Space group: R-3m (166)
Uncorrected formation energy in meV per atom: 136
Offset from the most stable computed form in meV/atom: 252

abc: 10.877 10.877 10.877
angles: 17.46 17.46 17.46
Sites, in units of the cell vectors:
Er 0.101 0.101 0.101
Er 0.899 0.899 0.899
Pa 0.000 0.000 0.000
Si 0.500 0.500 0.500

No. 15
VSn3C: optimized geometry, GGA-PBE.

Space group: Pm-3m (221)

abc: 4.727 4.727 4.727
angles: 90.00 90.00 90.00
Sites, in units of the cell vectors:
V 0.000 0.000 0.000
Sn 0.000 0.500 0.500
Sn 0.500 0.000 0.500
Sn 0.500 0.500 0.000
C 0.500 0.500 0.500

No. 16
K2ZrRh: optimized geometry, GGA-PBE.

Space group: Imm2 (44)
Offset from the most stable computed form in meV/atom: 281

abc: 7.220 7.220 7.220
angles: 151.36 126.55 61.76
Sites, in units of the cell vectors:
K 0.000 0.000 0.000
K 0.687 0.187 0.500
Zr 0.370 0.370 0.000
Rh 0.236 0.736 0.500

No. 17
Sm2BeGa4Pt3: optimized geometry, GGA-PBE.

Space group: P-4m2 (115)

abc: 4.176 4.176 10.710
angles: 90.00 90.00 90.00
Sites, in units of the cell vectors:
Sm 0.000 0.500 0.245
Sm 0.500 0.000 0.755
Be 0.500 0.500 0.000
Ga 0.000 0.000 0.500
Ga 0.000 0.500 0.873
Ga 0.500 0.000 0.127
Ga 0.500 0.500 0.500
Pt 0.000 0.000 0.000
Pt 0.000 0.500 0.639
Pt 0.500 0.000 0.361

No. 18
LiZrAlCo: optimized geometry, GGA-PBE.

Space group: F-43m (216)

abc: 4.348 4.348 4.348
angles: 60.00 60.00 60.00
Sites, in units of the cell vectors:
Li 0.000 0.000 0.000
Zr 0.250 0.250 0.250
Al 0.750 0.750 0.750
Co 0.500 0.500 0.500

No. 19
Er2MnCd: optimized geometry, GGA-PBE.

Space group: Fm-3m (225)
Offset from the most stable computed form in meV/atom: 76

abc: 5.116 5.116 5.116
angles: 60.00 60.00 60.00
Sites, in units of the cell vectors:
Er 0.250 0.250 0.250
Er 0.750 0.750 0.750
Mn 0.000 0.000 0.000
Cd 0.500 0.500 0.500

No. 20
Pm2DyZrAs4: optimized geometry, GGA-PBE.

Space group: P2/m (10)

abc: 7.106 4.102 7.116
angles: 90.00 109.29 90.00
Sites, in units of the cell vectors:
Pm 0.000 0.000 0.000
Pm 0.500 0.500 0.000
Dy 0.000 0.500 0.500
Zr 0.500 0.000 0.500
As 0.253 0.000 0.737
As 0.263 0.500 0.268
As 0.737 0.500 0.732
As 0.747 0.000 0.263

The records above yield final energy values of -6.4350; -3.7315; -7.1048; -4.6644; -5.8454; -5.2399; -2.7967; -5.4264; -7.6865; -7.4483; -1.9522; -5.0944; -2.6957; -5.8750; -4.9486; -4.1293; -5.1507; -5.6852; -4.8197; -6.5805 eV per atom, respectively.